## CoBi (PBE)

Data for an optimized crystal structure of CoBi.

Spin magnetization (μB/atom): 0.695
Uncorrected energy (eV/f.u.): -10.8

a = 5.102 Å, b = 4.175 Å, c = 7.913 Å
α = 90.00°, β = 90.00°, γ = 90.00°
Space group Pmma (No. 51)
Asymmetric unit:
Co (0.000, 0.000, 0.000)
Co (0.250, 0.500, 0.080)
Bi (0.250, 0.000, 0.316)
Bi (0.250, 0.500, 0.753)